Record 1
Computed, not measured: LaTbPm6Sm2 after structural relaxation at the GGA-PBE level of DFT.

Values from the calculation:
- energy relative to the elements (eV/f.u.) = 1.17
- total DFT energy (no corrections) (eV/atom) = -4.633
- calculated volume (Å³/cell) = 1390.0

```
data_LaTbPm6Sm2
_chemical_formula_sum 'La4 Tb4 Pm24 Sm8'
_space_group_name_H-M_alt 'C 1 2/c 1'
_space_group_IT_number 15
_space_group_name_Hall '-C 2yc'
_cell_length_a 9.214
_cell_length_b 15.406
_cell_length_c 9.912
_cell_angle_alpha 90.00
_cell_angle_beta 98.92
_cell_angle_gamma 90.00
loop_
_atom_site_label
_atom_site_type_symbol
_atom_site_fract_x
_atom_site_fract_y
_atom_site_fract_z
La1 La 0.000 0.096 0.250
Tb1 Tb 0.000 0.477 0.750
Pm1 Pm 0.065 0.318 0.444
Pm2 Pm 0.102 0.104 0.622
Pm3 Pm 0.200 0.274 0.818
Sm1 Sm 0.240 0.450 0.043
```

---

Record 2
Computed, not measured: AcCeCdPb after structural relaxation at the GGA-PBE level of DFT.

Values from the calculation:
- energy relative to the elements (eV/f.u.) = -1.19
- total DFT energy (no corrections) (eV/atom) = -3.964
- calculated volume (Å³/cell) = 516.3

```
data_AcCeCdPb
_chemical_formula_sum 'Ac4 Ce4 Cd4 Pb4'
_space_group_name_H-M_alt 'F -4 3 m'
_space_group_IT_number 216
_space_group_name_Hall 'F -4 2 3'
_cell_length_a 8.022
_cell_length_b 8.022
_cell_length_c 8.022
_cell_angle_alpha 90.00
_cell_angle_beta 90.00
_cell_angle_gamma 90.00
loop_
_atom_site_label
_atom_site_type_symbol
_atom_site_fract_x
_atom_site_fract_y
_atom_site_fract_z
Ac1 Ac 0.000 0.000 0.000
Ce1 Ce 0.000 0.000 0.500
Cd1 Cd 0.250 0.250 0.750
Pb1 Pb 0.250 0.250 0.250
```

---

Record 3
Computed, not measured: PrSmZnTc after structural relaxation at the GGA-PBE level of DFT.

Values from the calculation:
- energy relative to the elements (eV/f.u.) = -0.08
- total DFT energy (no corrections) (eV/atom) = -5.303
- calculated volume (Å³/cell) = 370.5

```
data_PrSmZnTc
_chemical_formula_sum 'Pr4 Sm4 Zn4 Tc4'
_space_group_name_H-M_alt 'F -4 3 m'
_space_group_IT_number 216
_space_group_name_Hall 'F -4 2 3'
_cell_length_a 7.183
_cell_length_b 7.183
_cell_length_c 7.183
_cell_angle_alpha 90.00
_cell_angle_beta 90.00
_cell_angle_gamma 90.00
loop_
_atom_site_label
_atom_site_type_symbol
_atom_site_fract_x
_atom_site_fract_y
_atom_site_fract_z
Pr1 Pr 0.000 0.000 0.000
Sm1 Sm 0.000 0.000 0.500
Zn1 Zn 0.250 0.250 0.750
Tc1 Tc 0.250 0.250 0.250
```

---

Record 4
Computed, not measured: HgIr2Au after structural relaxation at the GGA-PBE level of DFT.

Values from the calculation:
- energy relative to the elements (eV/f.u.) = 2.10
- total DFT energy (no corrections) (eV/atom) = -4.800
- calculated volume (Å³/cell) = 135.7

```
data_HgIr2Au
_chemical_formula_sum 'Hg2 Ir4 Au2'
_space_group_name_H-M_alt 'C m m m'
_space_group_IT_number 65
_space_group_name_Hall '-C 2 2'
_cell_length_a 2.836
_cell_length_b 4.946
_cell_length_c 9.675
_cell_angle_alpha 90.00
_cell_angle_beta 90.00
_cell_angle_gamma 90.00
loop_
_atom_site_label
_atom_site_type_symbol
_atom_site_fract_x
_atom_site_fract_y
_atom_site_fract_z
Hg1 Hg 0.000 0.000 0.000
Ir1 Ir 0.000 0.500 0.254
Au1 Au 0.000 0.000 0.500
```